# 1
A plane-wave DFT calculation with PBE was carried out for a relaxed structure of LaPm6NdEr2. Values from VASP.

Quantum ESPRESSO input file:
```
&SYSTEM
  ibrav = 0, nat = 20, ntyp = 4
/
ATOMIC_SPECIES
Pm 145.00 Pm.upf
La 138.91 La.upf
Er 167.26 Er.upf
Nd 144.24 Nd.upf
ATOMIC_POSITIONS crystal
Pm 0.950 0.875 0.127
Pm 0.449 0.622 0.375
Pm 0.949 0.375 0.622
Pm 0.643 0.877 0.625
Pm 0.450 0.127 0.875
Pm 0.357 0.123 0.375
Pm 0.551 0.378 0.625
Pm 0.550 0.873 0.125
Pm 0.050 0.125 0.873
Pm 0.143 0.625 0.877
Pm 0.051 0.625 0.378
Pm 0.857 0.375 0.123
La 0.250 0.620 0.380
La 0.750 0.380 0.620
Er 0.141 0.125 0.375
Er 0.359 0.625 0.875
Er 0.641 0.375 0.125
Er 0.859 0.875 0.625
Nd 0.750 0.873 0.127
Nd 0.250 0.127 0.873
CELL_PARAMETERS angstrom
-16.279 -4.336 -3.009
1.062 0.542 -6.505
1.150 -6.023 2.478
```

Values from the calculation:
calculated formation energy = 1.037 kcal/mol of atoms
total magnetic moment = 0.000 μB per atom
uncorrected energy = -93.75 eV/cell

=====

# 2
A plane-wave DFT calculation with PBE was carried out for a relaxed structure of Mg3Si4Pt4. Values from VASP.

Quantum ESPRESSO input file:
```
&SYSTEM
  ibrav = 0, nat = 11, ntyp = 3
/
ATOMIC_SPECIES
Pt 195.08 Pt.upf
Si 28.09 Si.upf
Mg 24.30 Mg.upf
ATOMIC_POSITIONS crystal
Pt 0.251 0.250 0.501
Pt 0.096 0.592 0.191
Pt 0.749 0.750 0.499
Pt 0.904 0.408 0.809
Si 0.454 0.456 0.908
Si 0.812 0.311 0.621
Si 0.188 0.689 0.379
Si 0.546 0.544 0.092
Mg 0.000 0.000 0.000
Mg 0.365 0.867 0.728
Mg 0.635 0.133 0.272
CELL_PARAMETERS angstrom
-3.127 -2.309 -1.168
1.984 -3.136 0.877
-3.948 3.083 11.616
```

Values from the calculation:
total magnetic moment = 0.000 μB per atom
uncorrected formation energy = -6.7 eV per formula unit
uncorrected energy = -57.34 eV/cell

=====

# 3
A plane-wave DFT calculation with PBE was carried out for a relaxed structure of NdTh2Fe. Values from VASP.

Quantum ESPRESSO input file:
```
&SYSTEM
  ibrav = 0, nat = 16, ntyp = 3
/
ATOMIC_SPECIES
Th 232.04 Th.upf
Nd 144.24 Nd.upf
Fe 55.84 Fe.upf
ATOMIC_POSITIONS crystal
Th 0.171 0.669 0.069
Th 0.829 0.331 0.931
Th 0.329 0.169 0.069
Th 0.329 0.169 0.431
Th 0.829 0.331 0.569
Th 0.171 0.669 0.431
Th 0.671 0.831 0.569
Th 0.671 0.831 0.931
Nd 0.146 0.952 0.750
Nd 0.854 0.048 0.250
Nd 0.646 0.548 0.250
Nd 0.354 0.452 0.750
Fe 0.125 0.404 0.250
Fe 0.875 0.596 0.750
Fe 0.625 0.096 0.750
Fe 0.375 0.904 0.250
CELL_PARAMETERS angstrom
6.389 0.000 0.000
0.000 7.034 0.000
0.000 0.000 9.754
```

Values from the calculation:
calculated formation energy = -0.948 kcal/mol of atoms
excess energy over the best structure of this formula in the dataset = 0 meV/atom
total magnetic moment = 0.000 μB per atom
uncorrected energy = -112.94 eV/cell

=====

# 4
A plane-wave DFT calculation with PBE was carried out for a relaxed structure of LaSm3Ho8. Values from VASP.

Quantum ESPRESSO input file:
```
&SYSTEM
  ibrav = 0, nat = 12, ntyp = 3
/
ATOMIC_SPECIES
Ho 164.93 Ho.upf
La 138.91 La.upf
Sm 150.36 Sm.upf
ATOMIC_POSITIONS crystal
Ho 0.749 0.126 0.126
Ho 0.000 0.747 0.249
Ho 0.502 0.253 0.253
Ho 0.251 0.377 0.377
Ho 0.000 0.249 0.747
Ho 0.000 0.874 0.623
Ho 0.000 0.623 0.874
Ho 0.498 0.751 0.751
La 0.000 0.000 0.000
Sm 0.000 0.500 0.500
Sm 0.500 0.750 0.250
Sm 0.500 0.250 0.750
CELL_PARAMETERS angstrom
-3.855 -3.203 -6.684
8.131 -1.695 0.906
-2.182 -3.008 7.483
```

Values from the calculation:
calculated formation energy = 14.730 kcal/mol of atoms
total magnetic moment = 0.000 μB per atom
uncorrected energy = -48.04 eV/cell

=====

# 5
A plane-wave DFT calculation with PBE was carried out for a relaxed structure of InNiHg. Values from VASP.

Quantum ESPRESSO input file:
```
&SYSTEM
  ibrav = 0, nat = 3, ntyp = 3
/
ATOMIC_SPECIES
Hg 200.59 Hg.upf
In 114.82 In.upf
Ni 58.69 Ni.upf
ATOMIC_POSITIONS crystal
Hg 0.000 0.000 0.000
In 0.500 0.500 0.500
Ni 0.250 0.250 0.250
CELL_PARAMETERS angstrom
4.414 0.000 0.000
2.207 3.823 0.000
2.207 1.274 3.604
```

Values from the calculation:
calculated formation energy = 1.077 kcal/mol of atoms
excess energy over the best structure of this formula in the dataset = 21 meV/atom
total magnetic moment = 0.000 μB per atom
uncorrected energy = -8.68 eV/cell

=====

# 6
A plane-wave DFT calculation with PBE was carried out for a relaxed structure of Tb2AlSi3Rh4. Values from VASP.

Quantum ESPRESSO input file:
```
&SYSTEM
  ibrav = 0, nat = 10, ntyp = 4
/
ATOMIC_SPECIES
Si 28.09 Si.upf
Tb 158.93 Tb.upf
Rh 102.91 Rh.upf
Al 26.98 Al.upf
ATOMIC_POSITIONS crystal
Si 0.500 0.000 0.872
Si 0.000 0.000 0.500
Si 0.000 0.500 0.128
Tb 0.500 0.000 0.250
Tb 0.000 0.500 0.750
Rh 0.000 0.500 0.365
Rh 0.500 0.500 0.000
Rh 0.500 0.000 0.635
Rh 0.000 0.000 0.000
Al 0.500 0.500 0.500
CELL_PARAMETERS angstrom
-1.505 3.519 -1.538
1.246 -1.116 -3.771
-8.772 -4.445 -1.584
```

Values from the calculation:
total magnetic moment = 0.000 μB per atom
uncorrected formation energy = -10.5 eV per formula unit
uncorrected energy = -69.22 eV/cell

=====

# 7
A plane-wave DFT calculation with PBE was carried out for a relaxed structure of Ca3ScHg12. Values from VASP.

Quantum ESPRESSO input file:
```
&SYSTEM
  ibrav = 0, nat = 16, ntyp = 3
/
ATOMIC_SPECIES
Hg 200.59 Hg.upf
Sc 44.96 Sc.upf
Ca 40.08 Ca.upf
ATOMIC_POSITIONS crystal
Hg 0.500 0.000 0.115
Hg 0.500 0.500 0.500
Hg 0.500 0.000 0.372
Hg 0.500 0.500 0.000
Hg 0.500 0.500 0.757
Hg 0.500 0.000 0.628
Hg 0.000 0.500 0.628
Hg 0.500 0.000 0.885
Hg 0.500 0.500 0.243
Hg 0.000 0.500 0.115
Hg 0.000 0.500 0.372
Hg 0.000 0.500 0.885
Sc 0.000 0.000 0.000
Ca 0.000 0.000 0.500
Ca 0.000 0.000 0.756
Ca 0.000 0.000 0.244
CELL_PARAMETERS angstrom
4.658 0.000 0.000
0.000 4.658 0.000
0.000 0.000 18.348
```

Values from the calculation:
calculated formation energy = -7.466 kcal/mol of atoms
total magnetic moment = 0.000 μB per atom
uncorrected energy = -21.14 eV/cell

=====

# 8
A plane-wave DFT calculation with PBE was carried out for a relaxed structure of TmAg3Au6. Values from VASP.

Quantum ESPRESSO input file:
```
&SYSTEM
  ibrav = 0, nat = 20, ntyp = 3
/
ATOMIC_SPECIES
Au 196.97 Au.upf
Ag 107.87 Ag.upf
Tm 168.93 Tm.upf
ATOMIC_POSITIONS crystal
Au 0.750 0.873 0.768
Au 0.750 0.964 0.070
Au 0.750 0.180 0.677
Au 0.250 0.248 0.541
Au 0.750 0.360 0.269
Au 0.750 0.752 0.459
Au 0.250 0.640 0.731
Au 0.250 0.036 0.930
Au 0.250 0.820 0.323
Au 0.250 0.127 0.232
Au 0.750 0.574 0.871
Au 0.250 0.426 0.129
Ag 0.250 0.736 0.030
Ag 0.750 0.478 0.577
Ag 0.750 0.264 0.970
Ag 0.250 0.522 0.423
Ag 0.750 0.653 0.159
Ag 0.250 0.347 0.841
Tm 0.750 0.063 0.374
Tm 0.250 0.937 0.626
CELL_PARAMETERS angstrom
-3.221 2.381 -2.796
-5.677 -4.944 2.330
0.918 8.520 6.197
```

Values from the calculation:
calculated formation energy = -6.686 kcal/mol of atoms
total magnetic moment = 0.000 μB per atom
uncorrected energy = -71.18 eV/cell

=====

The lowest uncorrected energy belongs to which entry? NdTh2Fe

=====

Which value of uncorrected energy does entry 8 give? -71.18 eV/cell

=====

total magnetic moment of number 2 (Mg3Si4Pt4)? 0.000 μB per atom